Here is HoAl5Tc after structural relaxation from Alexandria via LeMat-Bulk. Energies are from PBE-GGA.

Cell: 4.317 4.317 6.954 Å, 90.00 90.00 90.00°
Atoms (fractional coordinates):
1 Al 0.500 0.000 0.306
2 Al 0.000 0.500 0.306
3 Al 0.500 0.000 0.694
4 Al 0.000 0.500 0.694
5 Al 0.500 0.500 0.000
6 Tc 0.000 0.000 0.500
7 Ho 0.000 0.000 0.000

Calculated values
D(E_F)	0.404	states/eV per atom
energy of formation	-0.39	eV/atom
crystal system	tetragonal
total magnetic moment	0.00	μB per formula unit

---

Here is Pm7DyPb2 after structural relaxation from Alexandria via LeMat-Bulk. Energies are from PBE-GGA.

Cell: 5.553 9.253 9.253 Å, 119.32 90.00 90.00°
Atoms (fractional coordinates):
1 Pm 0.500 0.060 0.301
2 Pm 0.500 0.940 0.699
3 Pm 0.000 0.777 0.223
4 Pm 0.500 0.500 0.500
5 Pm 0.500 0.699 0.940
6 Pm 0.500 0.301 0.060
7 Pm 0.000 0.223 0.777
8 Dy 0.000 0.000 0.000
9 Pb 0.500 0.696 0.304
10 Pb 0.500 0.304 0.696

Calculated values
D(E_F)	1.989	states/eV per atom
energy of formation	0.26	eV/atom
crystal system	orthorhombic
total magnetic moment	0.00	μB per formula unit